(1)
Here is a relaxed structure of Tc2OsW from Alexandria via LeMat-Bulk. Energies are from PBE.

abc: 4.401 4.401 4.401
angles: 60.00 60.00 60.00
Element x y z (fractional)
Os 0.500 0.500 0.500
Tc 0.250 0.250 0.250
Tc 0.750 0.750 0.750
W 0.000 0.000 0.000

Summary:
crystal system = cubic
space group = Fm-3m (225)
E above lowest polymorph = 260.8 meV/atom
density = 15.7 g cm⁻³
energy relative to the elements = 321 meV/atom

---

(2)
Here is a relaxed structure of Cd2CoIrOs from Alexandria via LeMat-Bulk. Energies are from PBE.

abc: 5.050 4.507 5.050
angles: 90.00 90.00 90.00
Element x y z (fractional)
Co 0.000 0.500 0.000
Ir 0.000 0.000 0.000
Os 0.500 0.500 0.500
Cd 0.000 0.000 0.500
Cd 0.500 0.000 0.000

Summary:
crystal system = tetragonal
space group = P4/mmm (123)
density = 9.6 g cm⁻³
energy relative to the elements = 1772 meV/atom

---

(3)
Here is a relaxed structure of KBaBiO3 from Alexandria via LeMat-Bulk. Energies are from PBE.

abc: 3.981 7.374 10.506
angles: 88.33 90.00 90.00
Element x y z (fractional)
K 0.750 0.872 0.800
K 0.250 0.128 0.200
Ba 0.250 0.606 0.131
Ba 0.750 0.394 0.869
Bi 0.250 0.188 0.556
Bi 0.750 0.812 0.444
O 0.250 0.891 0.533
O 0.750 0.844 0.247
O 0.750 0.378 0.107
O 0.750 0.109 0.467
O 0.250 0.622 0.893
O 0.250 0.156 0.753

Summary:
crystal system = monoclinic
space group = P2_1/m (11)
density = 4.7 g cm⁻³
formation energy without anion corrections = -155.2 kJ per mole of atoms

---

(4)
Here is a relaxed structure of CaBrO2 from Alexandria via LeMat-Bulk. Energies are from PBE.

abc: 6.634 3.776 11.043
angles: 90.00 90.00 90.00
Element x y z (fractional)
Ca 0.146 0.250 0.605
Ca 0.354 0.750 0.105
Ca 0.854 0.750 0.395
Ca 0.646 0.250 0.895
O 0.841 0.250 0.506
O 0.659 0.750 0.006
O 0.159 0.750 0.494
O 0.341 0.250 0.994
O 0.503 0.250 0.691
O 0.997 0.750 0.191
O 0.497 0.750 0.309
O 0.003 0.250 0.809
Br 0.396 0.250 0.356
Br 0.104 0.750 0.856
Br 0.604 0.750 0.644
Br 0.896 0.250 0.144

Summary:
crystal system = orthorhombic
space group = Pnma (62)
E above lowest polymorph = 316.2 meV/atom
density = 3.6 g cm⁻³
formation energy without anion corrections = -110.1 kJ per mole of atoms

---

(5)
Here is a relaxed structure of SrInSbPd3 from Alexandria via LeMat-Bulk. Energies are from PBE.

abc: 6.266 7.023 7.317
angles: 118.68 90.00 90.00
Element x y z (fractional)
Sr 0.750 0.302 0.603
Sr 0.250 0.698 0.397
In 0.250 0.955 0.909
In 0.750 0.045 0.091
Sb 0.250 0.370 0.740
Sb 0.750 0.630 0.260
Pd 0.250 0.166 0.331
Pd 0.000 0.297 0.000
Pd 0.500 0.703 0.000
Pd 0.500 0.297 0.000
Pd 0.000 0.703 0.000
Pd 0.750 0.834 0.669

Summary:
crystal system = orthorhombic
space group = Cmcm (63)
density = 7.6 g cm⁻³
formation energy without anion corrections = -48.6 kJ per mole of atoms

---

(6)
Here is a relaxed structure of YNi2Te from Alexandria via LeMat-Bulk. Energies are from PBE.

abc: 4.127 3.803 5.162
angles: 90.03 90.00 90.00
Element x y z (fractional)
Ni 0.000 0.251 0.979
Ni 0.000 0.249 0.521
Te 0.500 0.250 0.250
Y 0.500 0.750 0.750

Summary:
crystal system = orthorhombic
space group = Pmmm (47)
density = 6.8 g cm⁻³
formation energy without anion corrections = -42.2 kJ per mole of atoms

---

(7)
Here is a relaxed structure of OsSeIN2 from Alexandria via LeMat-Bulk. Energies are from PBE.

abc: 3.872 3.872 6.092
angles: 90.00 90.00 90.00
Element x y z (fractional)
I 0.000 0.000 0.500
Os 0.000 0.000 0.000
Se 0.500 0.500 0.500
N 0.000 0.500 0.000
N 0.500 0.000 0.000

Summary:
crystal system = tetragonal
space group = P4/mmm (123)
E above lowest polymorph = 105.0 meV/atom
density = 7.7 g cm⁻³
formation energy without anion corrections = 90.9 kJ per mole of atoms

---

(8)
Here is a relaxed structure of Er2In5Sn from Alexandria via LeMat-Bulk. Energies are from PBE.

abc: 4.589 6.620 13.109
angles: 90.00 90.00 90.00
Element x y z (fractional)
Er 0.500 0.236 0.622
Er 0.500 0.764 0.378
Er 0.500 0.264 0.122
Er 0.500 0.736 0.878
In 0.000 0.000 0.000
In 0.000 0.500 0.500
In 0.000 0.485 0.749
In 0.000 0.515 0.251
In 0.000 0.015 0.249
In 0.000 0.985 0.751
In 0.500 0.235 0.871
In 0.500 0.765 0.129
In 0.500 0.265 0.371
In 0.500 0.735 0.629
Sn 0.000 0.000 0.500
Sn 0.000 0.500 0.000

Summary:
crystal system = orthorhombic
space group = Pbam (55)
density = 8.6 g cm⁻³
energy relative to the elements = -386 meV/atom

---

(9)
Here is a relaxed structure of Li2TaS3 from Alexandria via LeMat-Bulk. Energies are from PBE.

abc: 6.632 6.632 6.301
angles: 77.43 77.43 64.41
Element x y z (fractional)
Li 0.272 0.410 0.599
Li 0.410 0.272 0.099
Li 0.590 0.728 0.901
Li 0.728 0.590 0.401
Ta 0.928 0.072 0.750
Ta 0.072 0.928 0.250
S 0.402 0.598 0.250
S 0.598 0.402 0.750
S 0.767 0.919 0.117
S 0.081 0.233 0.383
S 0.919 0.767 0.617
S 0.233 0.081 0.883

Summary:
crystal system = monoclinic
space group = C2/c (15)
density = 4.0 g cm⁻³
formation energy without anion corrections = -106.2 kJ per mole of atoms

---

(10)
Here is a relaxed structure of MgZrZn2 from Alexandria via LeMat-Bulk. Energies are from PBE.

abc: 4.647 4.647 4.647
angles: 60.00 60.00 60.00
Element x y z (fractional)
Mg 0.500 0.500 0.500
Zn 0.000 0.000 0.000
Zn 0.750 0.750 0.750
Zr 0.250 0.250 0.250

Summary:
crystal system = cubic
space group = F-43m (216)
density = 5.8 g cm⁻³
energy relative to the elements = 21 meV/atom

---

(11)
Here is a relaxed structure of LiHfBi2Rh from Alexandria via LeMat-Bulk. Energies are from PBE.

abc: 4.794 4.777 4.794
angles: 90.00 90.00 90.00
Element x y z (fractional)
Rh 0.500 0.500 0.500
Hf 0.000 0.500 0.000
Bi 0.000 0.000 0.500
Bi 0.500 0.000 0.000
Li 0.000 0.000 0.000

Summary:
crystal system = tetragonal
space group = P4/mmm (123)
density = 10.7 g cm⁻³
energy relative to the elements = 671 meV/atom

---

(12)
Here is a relaxed structure of Hg2MoPb from Alexandria via LeMat-Bulk. Energies are from PBE.

abc: 10.558 10.558 10.558
angles: 17.28 17.28 17.28
Element x y z (fractional)
Hg 0.989 0.989 0.989
Hg 0.511 0.511 0.511
Mo 0.250 0.250 0.250
Pb 0.750 0.750 0.750

Summary:
crystal system = trigonal
space group = R-3m (166)
density = 12.9 g cm⁻³
energy relative to the elements = 541 meV/atom

---

Per-record total moment, μB per formula unit: 0.00, 5.07, 0.12, 0.44, 0.00, 0.00, 0.21, 0.00, 0.00, 0.00, 0.00, 0.04